VASP calculation (PBE-GGA) on KSc2Be after structural relaxation.

- D(E_F) (states/eV per cell) = 4.7
- total magnetization (μB per formula unit) = 0.445
- energy of formation from the pure elements (eV/atom) = 0.393
- E (eV per atom) = -3.98

```
data_KSc2Be
_chemical_formula_sum 'K1 Sc2 Be1'
_symmetry_space_group_name_H-M 'P 1 m 1'
_symmetry_Int_Tables_number 6
_cell_length_a 3.5865
_cell_length_b 3.5807
_cell_length_c 8.7340
_cell_angle_alpha 90.00
_cell_angle_beta 90.27
_cell_angle_gamma 90.00
loop_
_symmetry_equiv_pos_as_xyz
'x,y,z'
'x,-y,z'
loop_
_atom_site_label
_atom_site_type_symbol
_atom_site_fract_x
_atom_site_fract_y
_atom_site_fract_z
K1 K 0.0000 0.0000 0.0000
Sc1 Sc 0.4949 0.5000 0.6159
Sc2 Sc 0.9919 0.0000 0.4018
Be1 Be 0.4908 0.5000 0.3094
```